# 1
! GGA-PBE TbPmPr3Tm, optimized geometry; values from VASP
&SYSTEM
  ibrav = 0, nat = 12, ntyp = 4
/
ATOMIC_SPECIES
Tb 158.93 Tb.upf
Pm 145.00 Pm.upf
Pr 140.91 Pr.upf
Tm 168.93 Tm.upf
ATOMIC_POSITIONS crystal
Tb 0.205 0.250 0.380
Tb 0.795 0.750 0.620
Pm 0.372 0.250 0.872
Pm 0.628 0.750 0.128
Pr 0.041 0.250 0.869
Pr 0.292 0.750 0.127
Pr 0.454 0.750 0.623
Pr 0.546 0.250 0.377
Pr 0.708 0.250 0.873
Pr 0.959 0.750 0.131
Tm 0.122 0.750 0.620
Tm 0.878 0.250 0.380
CELL_PARAMETERS angstrom
10.914 0.000 0.000
0.000 3.645 0.000
-3.658 0.000 10.310
! theoretical density: 7.3 g/cm³
! calculated formation energy: 1.92 kJ/mol of atoms
! total magnetization: 0.000 μB/cell



# 2
! GGA-PBE TbPmPrTm3, optimized geometry; values from VASP
&SYSTEM
  ibrav = 0, nat = 12, ntyp = 4
/
ATOMIC_SPECIES
Tb 158.93 Tb.upf
Pm 145.00 Pm.upf
Pr 140.91 Pr.upf
Tm 168.93 Tm.upf
ATOMIC_POSITIONS crystal
Tb 0.176 0.824 0.750
Tb 0.824 0.176 0.250
Pm 0.495 0.505 0.750
Pm 0.505 0.495 0.250
Pr 0.000 0.000 0.000
Pr 0.000 0.000 0.500
Tm 0.171 0.829 0.250
Tm 0.328 0.672 0.004
Tm 0.328 0.672 0.496
Tm 0.672 0.328 0.504
Tm 0.672 0.328 0.996
Tm 0.829 0.171 0.750
CELL_PARAMETERS angstrom
2.924 -5.655 0.000
2.924 5.655 0.000
0.000 0.000 11.706
! theoretical density: 8.2 g/cm³
! calculated formation energy: 10.81 kJ/mol of atoms
! total magnetization: 0.000 μB/cell



# 3
! GGA-PBE Tb2PmPrTm2, optimized geometry; values from VASP
&SYSTEM
  ibrav = 0, nat = 12, ntyp = 4
/
ATOMIC_SPECIES
Tb 158.93 Tb.upf
Pm 145.00 Pm.upf
Pr 140.91 Pr.upf
Tm 168.93 Tm.upf
ATOMIC_POSITIONS crystal
Tb 0.249 0.160 0.000
Tb 0.251 0.660 0.500
Tb 0.749 0.340 0.500
Tb 0.751 0.840 0.000
Pm 0.000 0.000 0.500
Pm 0.500 0.500 0.000
Pr 0.000 0.500 0.000
Pr 0.500 0.000 0.500
Tm 0.250 0.344 0.500
Tm 0.250 0.844 0.000
Tm 0.750 0.156 0.000
Tm 0.750 0.656 0.500
CELL_PARAMETERS angstrom
6.989 0.000 0.000
0.000 16.098 0.000
0.000 0.000 3.549
! theoretical density: 7.8 g/cm³
! calculated formation energy: 16.65 kJ/mol of atoms
! total magnetization: 0.002 μB/cell



# 4
! GGA-PBE Tb3PmPr2Tm6, optimized geometry; values from VASP
&SYSTEM
  ibrav = 0, nat = 12, ntyp = 4
/
ATOMIC_SPECIES
Tb 158.93 Tb.upf
Pm 145.00 Pm.upf
Pr 140.91 Pr.upf
Tm 168.93 Tm.upf
ATOMIC_POSITIONS crystal
Tb 0.000 0.000 0.000
Tb 0.333 0.667 0.000
Tb 0.667 0.333 0.000
Pm 0.500 0.500 0.500
Pr 0.167 0.833 0.500
Pr 0.833 0.167 0.500
Tm 0.082 0.415 0.247
Tm 0.252 0.252 0.753
Tm 0.415 0.082 0.247
Tm 0.585 0.918 0.753
Tm 0.748 0.748 0.247
Tm 0.918 0.585 0.753
CELL_PARAMETERS angstrom
3.088 -5.345 0.000
3.088 5.345 0.000
-2.050 0.000 11.514
! theoretical density: 8.4 g/cm³
! calculated formation energy: 2.05 kJ/mol of atoms
! total magnetization: 0.000 μB/cell



# 5
! GGA-PBE TbPm2Pr5Tm, optimized geometry; values from VASP
&SYSTEM
  ibrav = 0, nat = 18, ntyp = 4
/
ATOMIC_SPECIES
Tb 158.93 Tb.upf
Pm 145.00 Pm.upf
Pr 140.91 Pr.upf
Tm 168.93 Tm.upf
ATOMIC_POSITIONS crystal
Tb 0.250 0.250 0.000
Tb 0.750 0.750 0.000
Pm 0.122 0.622 0.744
Pm 0.378 0.122 0.500
Pm 0.622 0.878 0.500
Pm 0.878 0.378 0.256
Pr 0.000 0.000 0.000
Pr 0.075 0.138 0.500
Pr 0.138 0.638 0.064
Pr 0.362 0.425 0.500
Pr 0.425 0.925 0.064
Pr 0.500 0.500 0.000
Pr 0.575 0.075 0.936
Pr 0.638 0.575 0.500
Pr 0.862 0.362 0.936
Pr 0.925 0.862 0.500
Tm 0.250 0.750 0.500
Tm 0.750 0.250 0.500
CELL_PARAMETERS angstrom
-4.324 4.324 8.489
4.324 -4.324 8.489
4.324 4.324 -8.489
! theoretical density: 6.9 g/cm³
! calculated formation energy: 27.09 kJ/mol of atoms
! total magnetization: 0.000 μB/cell



# 6
! GGA-PBE Tb2PmPr6Tm, optimized geometry; values from VASP
&SYSTEM
  ibrav = 0, nat = 20, ntyp = 4
/
ATOMIC_SPECIES
Tb 158.93 Tb.upf
Pm 145.00 Pm.upf
Pr 140.91 Pr.upf
Tm 168.93 Tm.upf
ATOMIC_POSITIONS crystal
Tb 0.202 0.299 0.047
Tb 0.299 0.202 0.547
Tb 0.701 0.798 0.453
Tb 0.798 0.701 0.953
Pm 0.026 0.974 0.250
Pm 0.974 0.026 0.750
Pr 0.006 0.565 0.190
Pr 0.117 0.760 0.554
Pr 0.240 0.883 0.946
Pr 0.294 0.510 0.383
Pr 0.435 0.994 0.310
Pr 0.490 0.706 0.117
Pr 0.510 0.294 0.883
Pr 0.565 0.006 0.690
Pr 0.706 0.490 0.617
Pr 0.760 0.117 0.054
Pr 0.883 0.240 0.446
Pr 0.994 0.435 0.810
Tm 0.412 0.588 0.750
Tm 0.588 0.412 0.250
CELL_PARAMETERS angstrom
4.676 -7.717 0.000
4.676 7.717 0.000
-1.261 0.000 9.662
! theoretical density: 7.0 g/cm³
! calculated formation energy: 10.94 kJ/mol of atoms
! total magnetization: 0.000 μB/cell